A geometry-optimized Sr2Ag3Sb4Au structure, computed with PBE.

abc: 4.7162 4.7162 11.9788
angles: 90.00 90.00 90.00
Last column: nearest neighbours and their distance in Å.
Element x y z (fractional)
Sr1 0.0000 0.5000 0.2323  4 Sb 3.54, 2 Au 3.65, 6 Ag 3.65-3.67
Sr2 0.5000 0.0000 0.7677  4 Sb 3.54, 2 Au 3.65, 6 Ag 3.65-3.67
Ag1 0.0000 0.0000 0.0000  4 Sb 2.85
Ag2 0.0000 0.5000 0.6405  5 Sb 2.71-2.90
Ag3 0.5000 0.0000 0.3595  5 Sb 2.71-2.90
Sb1 0.0000 0.0000 0.5000  4 Ag 2.90
Sb2 0.0000 0.5000 0.8663  3 Ag 2.71-2.85, 2 Au 2.85
Sb3 0.5000 0.0000 0.1337  3 Ag 2.71-2.85, 2 Au 2.85
Sb4 0.5000 0.5000 0.5000  4 Ag 2.90
Au1 0.5000 0.5000 0.0000  4 Sb 2.85

Output
Raw formation energy   -443 meV per atom
E_tot   -0.1327 Ha/atom

=====

A geometry-optimized Sr2AgSb3Au4 structure, computed with PBE.

abc: 4.7050 4.7050 11.5252
angles: 90.00 90.00 90.00
Last column: nearest neighbours and their distance in Å.
Element x y z (fractional)
Sr1 0.0000 0.5000 0.2440  6 Sb 3.56-3.77, 8 Au 3.61-3.67, 2 Ag 3.77
Sr2 0.5000 0.0000 0.7560  6 Sb 3.56-3.77, 8 Au 3.61-3.67, 2 Ag 3.77
Ag1 0.0000 0.0000 0.5000  4 Au 2.81
Sb1 0.0000 0.5000 0.8656  5 Au 2.67-2.82
Sb2 0.5000 0.0000 0.1344  5 Au 2.67-2.82
Sb3 0.5000 0.5000 0.5000  4 Au 2.81
Au1 0.0000 0.0000 0.0000  4 Sb 2.82
Au2 0.0000 0.5000 0.6336  3 Sb 2.67-2.81, 2 Ag 2.81
Au3 0.5000 0.0000 0.3664  3 Sb 2.67-2.81, 2 Ag 2.81
Au4 0.5000 0.5000 0.0000  4 Sb 2.82

Output
Raw formation energy   -520 meV per atom
E_tot   -0.1356 Ha/atom

=====

A geometry-optimized Sr2AgSb4Au3 structure, computed with PBE.

abc: 4.7334 4.7334 11.8400
angles: 90.00 90.00 90.00
Last column: nearest neighbours and their distance in Å.
Element x y z (fractional)
Sr1 0.0000 0.5000 0.2393  8 Sb 3.58-3.89, 6 Au 3.64-3.69, 2 Ag 3.69
Sr2 0.5000 0.0000 0.7607  8 Sb 3.58-3.89, 6 Au 3.64-3.69, 2 Ag 3.69
Ag1 0.5000 0.5000 0.0000  4 Sb 2.84
Sb1 0.0000 0.0000 0.5000  4 Au 2.89
Sb2 0.0000 0.5000 0.8668  3 Au 2.68-2.84, 2 Ag 2.84
Sb3 0.5000 0.0000 0.1332  3 Au 2.68-2.84, 2 Ag 2.84
Sb4 0.5000 0.5000 0.5000  4 Au 2.89
Au1 0.0000 0.0000 0.0000  4 Sb 2.84
Au2 0.0000 0.5000 0.6406  5 Sb 2.68-2.89
Au3 0.5000 0.0000 0.3594  5 Sb 2.68-2.89

Output
Raw formation energy   -517 meV per atom
E_tot   -0.1386 Ha/atom

=====

A geometry-optimized TbAgSbAu structure, computed with PBE.

abc: 7.1500 7.1500 7.1500
angles: 90.00 90.00 90.00
Last column: nearest neighbours and their distance in Å.
Element x y z (fractional)
Tb1 0.0000 0.0000 0.0000  4 Au 3.10, 4 Sb 3.10
Tb2 0.0000 0.5000 0.5000  4 Au 3.10, 4 Sb 3.10
Tb3 0.5000 0.0000 0.5000  4 Au 3.10, 4 Sb 3.10
Tb4 0.5000 0.5000 0.0000  4 Au 3.10, 4 Sb 3.10
Ag1 0.0000 0.0000 0.5000  4 Sb 3.10, 4 Au 3.10
Ag2 0.0000 0.5000 0.0000  4 Sb 3.10, 4 Au 3.10
Ag3 0.5000 0.0000 0.0000  4 Sb 3.10, 4 Au 3.10
Ag4 0.5000 0.5000 0.5000  4 Sb 3.10, 4 Au 3.10
Sb1 0.2500 0.2500 0.2500  4 Tb 3.10, 4 Ag 3.10
Sb2 0.2500 0.7500 0.7500  4 Tb 3.10, 4 Ag 3.10
Sb3 0.7500 0.2500 0.7500  4 Tb 3.10, 4 Ag 3.10
Sb4 0.7500 0.7500 0.2500  4 Tb 3.10, 4 Ag 3.10
Au1 0.2500 0.2500 0.7500  4 Tb 3.10, 4 Ag 3.10
Au2 0.2500 0.7500 0.2500  4 Tb 3.10, 4 Ag 3.10
Au3 0.7500 0.2500 0.2500  4 Tb 3.10, 4 Ag 3.10
Au4 0.7500 0.7500 0.7500  4 Tb 3.10, 4 Ag 3.10

Output
Raw formation energy   -507 meV per atom
E_tot   -0.1554 Ha/atom

=====

A geometry-optimized AgSbTe2Au structure, computed with PBE.

abc: 5.4374 5.4374 5.2884
angles: 90.00 90.00 90.00
Last column: nearest neighbours and their distance in Å.
Element x y z (fractional)
Ag1 0.0000 0.0000 0.0000  2 Sb 2.64, 4 Te 2.72
Sb1 0.0000 0.0000 0.5000  2 Ag 2.64
Te1 0.0000 0.5000 0.0000  2 Ag 2.72
Te2 0.5000 0.0000 0.0000  2 Ag 2.72
Au1 0.5000 0.5000 0.5000  8 Te 3.79, 4 Sb 3.84

Output
Raw formation energy   798 meV per atom
E_tot   -0.0922 Ha/atom
Energy above the lowest structure with this stoichiometry   16.2 kJ/mol of atoms

=====

A geometry-optimized Ag2SbTe4Au structure, computed with PBE.

abc: 7.3531 4.2539 7.4864
angles: 90.00 110.12 90.00
Last column: nearest neighbours and their distance in Å.
Element x y z (fractional)
Ag1 0.0000 0.0000 0.0000  4 Te 2.81
Ag2 0.5000 0.5000 0.0000  6 Te 2.97-3.01
Sb1 0.0000 0.5000 0.5000  6 Te 3.09-3.10
Te1 0.2194 0.5000 0.2131  3 Ag 2.81-3.01, 1 Sb 3.10
Te2 0.2910 0.0000 0.7303  1 Au 2.68, 2 Ag 2.97
Te3 0.7090 0.0000 0.2697  1 Au 2.68, 2 Ag 2.97
Te4 0.7806 0.5000 0.7869  3 Ag 2.81-3.01, 1 Sb 3.10
Au1 0.5000 0.0000 0.5000  2 Te 2.68

Output
Raw formation energy   -55 meV per atom
E_tot   -0.1199 Ha/atom

=====

A geometry-optimized AgSbTeAu structure, computed with PBE.

abc: 13.1131 13.1131 13.1131
angles: 18.92 18.92 18.92
Last column: nearest neighbours and their distance in Å.
Element x y z (fractional)
Ag1 0.1863 0.1863 0.1863  4 Te 2.86-2.92, 3 Ag 2.91
Ag2 0.8137 0.8137 0.8137  4 Te 2.86-2.92, 3 Ag 2.91
Sb1 0.3880 0.3880 0.3880  4 Au 2.80-2.93
Sb2 0.6120 0.6120 0.6120  4 Au 2.80-2.93
Te1 0.1107 0.1107 0.1107  4 Ag 2.86-2.92
Te2 0.8893 0.8893 0.8893  4 Ag 2.86-2.92
Au1 0.3120 0.3120 0.3120  4 Sb 2.80-2.93, 3 Au 2.98
Au2 0.6880 0.6880 0.6880  4 Sb 2.80-2.93, 3 Au 2.98

Output
Raw formation energy   12 meV per atom
E_tot   -0.1226 Ha/atom

=====

A geometry-optimized AgSbTe2Au structure, computed with PBE.

abc: 5.5824 5.5824 5.2425
angles: 90.00 90.00 90.00
Last column: nearest neighbours and their distance in Å.
Element x y z (fractional)
Ag1 0.0000 0.0000 0.0000  8 Te 3.83, 4 Sb 3.95
Sb1 0.5000 0.5000 0.0000  2 Au 2.62
Te1 0.0000 0.5000 0.5000  2 Au 2.79
Te2 0.5000 0.0000 0.5000  2 Au 2.79
Au1 0.5000 0.5000 0.5000  2 Sb 2.62, 4 Te 2.79

Output
Raw formation energy   630 meV per atom
E_tot   -0.0984 Ha/atom
Energy above the lowest structure with this stoichiometry   0.0 kJ/mol of atoms

=====

A geometry-optimized TiAgSbAu structure, computed with PBE.

abc: 6.7643 6.7643 6.7643
angles: 90.00 90.00 90.00
Last column: nearest neighbours and their distance in Å.
Element x y z (fractional)
Ti1 0.0000 0.0000 0.0000  4 Au 2.93, 4 Sb 2.93
Ti2 0.0000 0.5000 0.5000  4 Au 2.93, 4 Sb 2.93
Ti3 0.5000 0.0000 0.5000  4 Au 2.93, 4 Sb 2.93
Ti4 0.5000 0.5000 0.0000  4 Au 2.93, 4 Sb 2.93
Ag1 0.0000 0.0000 0.5000  4 Sb 2.93, 4 Au 2.93
Ag2 0.0000 0.5000 0.0000  4 Sb 2.93, 4 Au 2.93
Ag3 0.5000 0.0000 0.0000  4 Sb 2.93, 4 Au 2.93
Ag4 0.5000 0.5000 0.5000  4 Sb 2.93, 4 Au 2.93
Sb1 0.2500 0.2500 0.2500  4 Ti 2.93, 4 Ag 2.93
Sb2 0.2500 0.7500 0.7500  4 Ti 2.93, 4 Ag 2.93
Sb3 0.7500 0.2500 0.7500  4 Ti 2.93, 4 Ag 2.93
Sb4 0.7500 0.7500 0.2500  4 Ti 2.93, 4 Ag 2.93
Au1 0.2500 0.2500 0.7500  4 Ti 2.93, 4 Ag 2.93
Au2 0.2500 0.7500 0.2500  4 Ti 2.93, 4 Ag 2.93
Au3 0.7500 0.2500 0.2500  4 Ti 2.93, 4 Ag 2.93
Au4 0.7500 0.7500 0.7500  4 Ti 2.93, 4 Ag 2.93

Output
Raw formation energy   -75 meV per atom
E_tot   -0.1695 Ha/atom

=====

A geometry-optimized Tl2AgSb2Au structure, computed with PBE.

abc: 9.5039 9.5039 9.5039
angles: 141.67 55.54 141.38
Last column: nearest neighbours and their distance in Å.
Element x y z (fractional)
Tl1 0.1774 0.2441 0.4215  5 Sb 3.31-3.60, 2 Ag 3.70
Tl2 0.3226 0.7441 0.0667  5 Sb 3.31-3.60, 2 Ag 3.70
Tl3 0.6774 0.2559 0.9333  5 Sb 3.31-3.60, 2 Ag 3.70
Tl4 0.8226 0.7559 0.5785  5 Sb 3.31-3.60, 2 Ag 3.70
Ag1 0.2500 0.2500 0.0000  4 Sb 2.90, 2 Au 3.12, 2 Ag 3.14
Ag2 0.7500 0.7500 0.0000  4 Sb 2.90, 2 Au 3.12, 2 Ag 3.14
Sb1 0.1086 0.7409 0.8495  2 Au 2.84, 2 Ag 2.90
Sb2 0.3914 0.2409 0.6323  2 Au 2.84, 2 Ag 2.90
Sb3 0.6086 0.7591 0.3677  2 Au 2.84, 2 Ag 2.90
Sb4 0.8914 0.2591 0.1505  2 Au 2.84, 2 Ag 2.90
Au1 0.2500 0.7500 0.5000  4 Sb 2.84, 2 Ag 3.12, 2 Au 3.14
Au2 0.7500 0.2500 0.5000  4 Sb 2.84, 2 Ag 3.12, 2 Au 3.14

Output
Raw formation energy   -1 meV per atom
E_tot   -0.1171 Ha/atom

=====

A geometry-optimized Tl2AgSbAu structure, computed with PBE.

abc: 5.5234 5.5234 5.2805
angles: 90.00 90.00 90.00
Last column: nearest neighbours and their distance in Å.
Element x y z (fractional)
Tl1 0.0000 0.5000 0.0000  2 Ag 2.76
Tl2 0.5000 0.0000 0.0000  2 Ag 2.76
Ag1 0.0000 0.0000 0.0000  2 Sb 2.64, 4 Tl 2.76
Sb1 0.0000 0.0000 0.5000  2 Ag 2.64
Au1 0.5000 0.5000 0.5000  8 Tl 3.82, 4 Sb 3.91

Output
Raw formation energy   440 meV per atom
E_tot   -0.0940 Ha/atom

=====

A geometry-optimized Tl2AgSb4Au3 structure, computed with PBE.

abc: 4.7363 4.7363 11.7745
angles: 90.00 90.00 90.00
Last column: nearest neighbours and their distance in Å.
Element x y z (fractional)
Tl1 0.0000 0.5000 0.2372  8 Sb 3.56-3.90, 2 Ag 3.66, 6 Au 3.66-3.67
Tl2 0.5000 0.0000 0.7628  8 Sb 3.56-3.90, 2 Ag 3.66, 6 Au 3.66-3.67
Ag1 0.5000 0.5000 0.0000  4 Sb 2.84
Sb1 0.0000 0.0000 0.5000  4 Au 2.86
Sb2 0.0000 0.5000 0.8665  3 Au 2.72-2.84, 2 Ag 2.84
Sb3 0.5000 0.0000 0.1335  3 Au 2.72-2.84, 2 Ag 2.84
Sb4 0.5000 0.5000 0.5000  4 Au 2.86
Au1 0.0000 0.0000 0.0000  4 Sb 2.84
Au2 0.0000 0.5000 0.6356  5 Sb 2.72-2.86
Au3 0.5000 0.0000 0.3644  5 Sb 2.72-2.86

Output
Raw formation energy   -33 meV per atom
E_tot   -0.1258 Ha/atom

=====

A geometry-optimized Tl2AgSb2Au2 structure, computed with PBE.

abc: 4.6128 5.0526 8.3608
angles: 83.17 74.23 89.95
Last column: nearest neighbours and their distance in Å.
Element x y z (fractional)
Tl1 0.0918 0.2307 0.3170  1 Au 3.04, 2 Ag 3.13-3.14
Tl2 0.9082 0.7693 0.6830  1 Au 3.04, 2 Ag 3.13-3.14
Ag1 0.5000 0.5000 0.5000  2 Sb 2.80, 2 Tl 3.13
Sb1 0.3421 0.1981 0.8156  4 Au 2.79-3.03, 1 Ag 2.80
Sb2 0.6579 0.8019 0.1844  4 Au 2.79-3.03, 1 Ag 2.80
Au1 0.2403 0.6646 0.0188  4 Sb 2.79-3.03, 2 Au 2.88, 1 Tl 3.04
Au2 0.7597 0.3354 0.9812  4 Sb 2.79-3.03, 2 Au 2.88, 1 Tl 3.04

Output
Raw formation energy   -21 meV per atom
E_tot   -0.1183 Ha/atom